## AgCl3 (GGA-PBEsol)

Data for crystalline AgCl3 at its relaxed geometry.

Values from the calculation:
Calculated total energy, eV per cell: -10.07
Formation energy without anion corrections, eV per atom: -0.183
Calculated volume, A^3/atom: 23.40

Unit cell a=3.8944 b=3.9475 c=7.0141 alpha=93.28 beta=90.00 gamma=119.56
With the nearest neighbours (Å) after each atom.
Sites, in units of the cell vectors:
Ag 0.0000 0.0000 0.0000  6 Cl 2.66-2.67
Cl 0.5000 0.0000 0.5000  2 Cl 2.30
Cl 0.6567 0.3134 0.8005  1 Cl 2.30
Cl 0.3433 0.6866 0.1995  1 Cl 2.30